# 1
BaCuAsN2 | PBE | relaxed

Calculated values
- Offset from the most stable computed form: 47.5 kJ/mol of atoms
- Energy relative to the elements, uncorrected: 1.47 eV per atom

Geometry as extended XYZ:
```
5
Lattice="4.1657 0.0000 0.0000 0.0000 4.1657 0.0000 0.0000 0.0000 5.4051" Properties=species:S:1:pos:R:3 pbc="T T T"
Ba 0.0000 0.0000 0.0000
Cu 0.0000 0.0000 2.7025
As 2.0829 2.0829 0.0000
N 0.0000 2.0829 2.7025
N 2.0829 0.0000 2.7025
```



# 2
CrRh2S4 | PBE | relaxed

Calculated values
- Energy relative to the elements, uncorrected: -0.48 eV per atom

Geometry as extended XYZ:
```
28
Lattice="6.9120 0.0000 0.0000 0.0000 6.9120 0.0000 0.0000 0.0000 10.0278" Properties=species:S:1:pos:R:3 pbc="T T T"
Cr 0.0000 1.7032 0.0000
Cr 0.0000 5.2088 5.0139
Cr 1.7032 0.0000 7.5208
Cr 5.2088 0.0000 2.5069
Rh 1.6670 3.4560 7.5208
Rh 1.7665 1.7665 3.7604
Rh 1.7665 5.1455 1.2535
Rh 3.4560 1.6670 0.0000
Rh 3.4560 5.2450 5.0139
Rh 5.1455 1.7665 6.2674
Rh 5.1455 5.1455 8.7743
Rh 5.2450 3.4560 2.5069
S 0.0488 1.6936 7.6524
S 0.0488 5.2184 7.3892
S 1.6936 0.0488 9.8962
S 1.6936 6.8632 5.1455
S 1.7376 3.3319 9.9111
S 1.7376 3.5801 5.1306
S 3.3319 1.7376 7.6375
S 3.3319 5.1744 7.4042
S 3.5801 1.7376 2.3903
S 3.5801 5.1744 2.6236
S 5.1744 3.3319 0.1167
S 5.1744 3.5801 4.8972
S 5.2184 0.0488 0.1316
S 5.2184 6.8632 4.8823
S 6.8632 1.6936 2.3754
S 6.8632 5.2184 2.6385
```



# 3
CsCu3Rh | PBE | relaxed

Calculated values
- Energy relative to the elements: 2299 meV per atom

Geometry as extended XYZ:
```
5
Lattice="5.0982 0.0000 0.0000 0.0000 5.0982 0.0000 0.0000 0.0000 5.0982" Properties=species:S:1:pos:R:3 pbc="T T T"
Cs 0.0000 0.0000 0.0000
Cu 0.0000 0.0000 2.5491
Cu 0.0000 2.5491 0.0000
Cu 2.5491 0.0000 0.0000
Rh 2.5491 2.5491 2.5491
```



# 4
P2IrSe | PBE | relaxed

Calculated values
- Energy relative to the elements, uncorrected: 0.16 eV per atom

Geometry as extended XYZ:
```
4
Lattice="-1.7498 1.7829 6.2904 1.7498 -1.7829 6.2904 1.7498 1.7829 -6.2904" Properties=species:S:1:pos:R:3 pbc="T T T"
P 0.0000 0.0000 0.0000
P 0.0000 1.7829 4.8421
Ir 0.0000 0.0000 6.6389
Se 1.7498 0.0000 2.1805
```



# 5
CoAs | PBE | relaxed

Calculated values
- Energy relative to the elements: 66 meV per atom

Geometry as extended XYZ:
```
4
Lattice="3.8986 0.0000 0.0000 0.0000 2.7796 0.0000 0.0000 0.0000 5.8094" Properties=species:S:1:pos:R:3 pbc="T T T"
Co 0.9746 0.0000 0.7878
Co 2.9239 0.0000 5.0216
As 0.9746 1.3898 4.4980
As 2.9239 1.3898 1.3114
```



# 6
SrTl3In3I8 | PBE | relaxed

Calculated values
- Energy relative to the elements, uncorrected: -0.79 eV per atom

Geometry as extended XYZ:
```
15
Lattice="4.9747 2.8722 8.1473 -4.9747 2.8722 8.1473 0.0000 -5.7443 8.1473" Properties=species:S:1:pos:R:3 pbc="T T T"
Sr 0.0000 0.0000 0.0000
Tl -4.9747 0.0000 12.2209
Tl -2.4874 1.4361 4.0736
Tl 2.4874 1.4361 4.0737
In -2.4874 -1.4361 8.1473
In -2.4874 1.4361 16.2946
In 0.0000 2.8722 8.1473
I 0.0000 -3.0268 10.0480
I -2.6213 1.5134 10.0480
I -2.6213 -1.5134 14.3939
I 0.0000 0.0000 6.1369
I 0.0000 0.0000 18.3050
I 2.6213 1.5134 10.0480
I 2.6213 -1.5134 14.3939
I 0.0000 3.0268 14.3939
```



# 7
YRhOF2 | PBE | relaxed

Calculated values
- Offset from the most stable computed form: 0.0 kJ/mol of atoms
- Energy relative to the elements, uncorrected: -1.95 eV per atom

Geometry as extended XYZ:
```
5
Lattice="4.3525 0.0000 0.0000 0.0000 4.3525 0.0000 0.0000 0.0000 4.4774" Properties=species:S:1:pos:R:3 pbc="T T T"
Y 0.0000 0.0000 0.0000
Rh 2.1763 2.1763 2.2387
O 0.0000 0.0000 2.2387
F 0.0000 2.1763 0.0000
F 2.1763 0.0000 0.0000
```



# 8
PmCd9Pt2 | PBE | relaxed

Calculated values
- Energy relative to the elements: -241 meV per atom

Geometry as extended XYZ:
```
24
Lattice="-5.8637 5.8637 3.7705 5.8637 -5.8637 3.7705 5.8637 5.8637 -3.7705" Properties=species:S:1:pos:R:3 pbc="T T T"
Pm 5.8637 2.9318 0.9426
Pm 0.0000 2.9318 2.8279
Cd 5.8637 -2.9318 2.8279
Cd 4.4506 -0.6010 1.3383
Cd 7.2767 -0.6010 1.3383
Cd 2.3309 1.5188 0.5469
Cd 9.3964 1.5188 0.5469
Cd 4.4506 5.2627 -1.3383
Cd 1.4131 -0.6010 2.4322
Cd 2.3309 4.3449 0.5469
Cd 3.5328 -1.5188 4.3174
Cd 2.3309 7.3824 -0.5469
Cd 3.5328 1.5188 3.2236
Cd 4.4506 6.4646 1.3383
Cd 1.4131 0.6010 5.1089
Cd -3.5328 4.3449 3.2236
Cd 3.5328 4.3449 3.2236
Cd -1.4131 6.4646 2.4322
Cd 1.4131 6.4646 2.4322
Cd 0.0000 8.7955 0.9426
Pt 0.0000 0.0000 0.0000
Pt 2.9318 2.9318 -1.8853
Pt 2.9318 -2.9318 1.8853
Pt 0.0000 5.8637 0.0000
```